[1]
The following is a DFT calculation (PBE-GGA) of a geometry-optimized YPtNO structure.

Cell lengths 4.882, 4.882, 4.418 Å; angles 90.00, 90.00, 90.00 degrees
Positions (direct):
Pt 0.750 0.750 0.002
N 0.250 0.250 0.498
O 0.750 0.250 0.000
N 0.750 0.750 0.502
Y 0.750 0.250 0.500
Pt 0.250 0.250 0.998
Y 0.250 0.750 0.500
O 0.250 0.750 0.000

Output
The value obtained for the volume is 13.16 Å³/atom. Its space group is P4/nmm (129).

---

[2]
The following is a DFT calculation (PBE-GGA) of a geometry-optimized YPtNO structure.

Cell lengths 3.736, 5.123, 6.670 Å; angles 89.82, 90.00, 90.00 degrees
Positions (direct):
O 0.500 0.905 0.105
Y 0.000 0.449 0.749
Pt 0.500 0.451 0.359
N 0.000 0.448 0.351
N 0.000 0.947 0.649
Y 0.000 0.950 0.251
Pt 0.500 0.952 0.641
O 0.500 0.405 0.895

Output
The value obtained for the volume is 15.96 Å³/atom. Its space group is Pm (6).

---

[3]
The following is a DFT calculation (PBE-GGA) of a geometry-optimized YPtNO structure.

Cell lengths 4.184, 4.184, 7.079 Å; angles 90.00, 90.00, 90.00 degrees
Positions (direct):
O 0.500 0.500 0.000
N 0.000 0.500 0.452
N 0.500 0.000 0.548
Y 0.500 0.000 0.868
Pt 0.000 0.000 0.500
O 0.000 0.000 0.000
Pt 0.500 0.500 0.500
Y 0.000 0.500 0.132

Output
The value obtained for the volume is 15.49 Å³/atom. Its space group is P4/nmm (129).

---

[4]
The following is a DFT calculation (PBE-GGA) of a geometry-optimized YPtNO structure.

Cell lengths 3.891, 3.891, 7.431 Å; angles 90.00, 90.00, 90.00 degrees
Positions (direct):
Pt 0.750 0.250 0.500
N 0.750 0.750 0.342
Y 0.250 0.250 0.147
Y 0.750 0.750 0.853
O 0.250 0.750 0.000
O 0.750 0.250 0.000
Pt 0.250 0.750 0.500
N 0.250 0.250 0.658

Output
The value obtained for the volume is 14.06 Å³/atom. Its space group is P4/nmm (129).

---

[5]
The following is a DFT calculation (PBE-GGA) of a geometry-optimized YPtNO structure.

Cell lengths 3.953, 5.120, 6.263 Å; angles 90.00, 90.00, 90.00 degrees
Positions (direct):
N 0.000 0.833 0.287
O 0.500 0.925 0.851
O 0.500 0.425 0.149
Pt 0.000 0.992 0.578
Y 0.500 0.504 0.810
Pt 0.000 0.492 0.422
Y 0.500 0.004 0.190
N 0.000 0.333 0.713

Output
The value obtained for the volume is 15.85 Å³/atom. Its space group is Pmc2_1 (26).

---

[6]
The following is a DFT calculation (PBE-GGA) of a geometry-optimized YPtNO structure.

Cell lengths 6.112, 7.500, 5.374 Å; angles 90.00, 90.00, 90.00 degrees
Positions (direct):
Pt 0.173 0.573 0.003
Y 0.994 0.134 0.893
O 0.247 0.013 0.639
N 0.465 0.608 0.167
N 0.965 0.392 0.167
O 0.747 0.987 0.639
Pt 0.327 0.573 0.503
N 0.035 0.608 0.667
Y 0.506 0.134 0.393
Y 0.006 0.866 0.393
Y 0.494 0.866 0.893
O 0.753 0.987 0.139
Pt 0.673 0.427 0.003
N 0.535 0.392 0.667
O 0.253 0.013 0.139
Pt 0.827 0.427 0.503

Output
The value obtained for the volume is 15.39 Å³/atom. Its space group is Pca2_1 (29).

---

[7]
The following is a DFT calculation (PBE-GGA) of a geometry-optimized ZnPtNO structure.

Cell lengths 4.984, 3.233, 6.228 Å; angles 90.00, 90.00, 90.00 degrees
Positions (direct):
Zn 0.003 0.500 0.863
N 0.633 0.000 0.293
Pt 0.004 0.000 0.411
N 0.133 0.000 0.707
Pt 0.504 0.000 0.589
Zn 0.503 0.500 0.137
O 0.606 0.500 0.833
O 0.106 0.500 0.167

Output
The value obtained for the volume is 12.54 Å³/atom. Its space group is Pmc2_1 (26).

---

[8]
The following is a DFT calculation (PBE-GGA) of a geometry-optimized ZnPtNO structure.

Cell lengths 5.160, 5.516, 6.998 Å; angles 90.00, 90.00, 90.00 degrees
Positions (direct):
O 0.607 0.089 0.622
O 0.607 0.589 0.378
Pt 0.984 0.062 0.065
Pt 0.484 0.438 0.065
N 0.128 0.383 0.166
Zn 0.985 0.074 0.610
N 0.628 0.617 0.834
Zn 0.485 0.426 0.610
Pt 0.484 0.938 0.935
O 0.107 0.411 0.622
Pt 0.984 0.562 0.935
O 0.107 0.911 0.378
N 0.128 0.883 0.834
Zn 0.985 0.574 0.390
Zn 0.485 0.926 0.390
N 0.628 0.117 0.166

Output
The value obtained for the volume is 12.45 Å³/atom. Its space group is Pca2_1 (29).

---

no.,ΔE to the lowest computed polymorph (meV per atom),M_tot (μB/atom),total energy (eV/cell)
1,427,0.000,-58.88
2,235,0.002,-60.42
3,20,0.001,-62.14
4,320,0.346,-59.73
5,299,0.047,-59.90
6,0,0.001,-124.59
7,142,0.098,-40.60
8,0,0.000,-83.47